w.
The following is a PBE calculation of RbAsH2IrSe after structural relaxation, from Alexandria.

Output
Space group: No. 6
DOS at the Fermi energy in states/eV per cell: 2.82

a = 4.9395 Å, b = 3.9568 Å, c = 6.6186 Å
α = 90.00°, β = 94.59°, γ = 90.00°
Closest atoms and distances in Å follow each position.
Element x y z (fractional)
Rb  0.0000  0.0000  0.0000  2 H 2.75-2.79
As  0.2152  0.5000  0.4212  2 Ir 2.42, 1 Se 2.46
H  0.4156  0.0000  0.7390  1 Ir 1.68
H  0.5930  0.0000  0.2591  1 Ir 1.69
Ir  0.4859  0.0000  0.4947  2 H 1.68-1.69
Se  0.7991  0.5000  0.6024  1 As 2.46, 2 Ir 2.58

***

x.
The following is a PBE calculation of RbAsH2IrSe after structural relaxation, from Alexandria.

Output
Space group: No. 6
DOS at the Fermi energy in states/eV per cell: 1.98

a = 5.7098 Å, b = 3.9270 Å, c = 6.5379 Å
α = 90.00°, β = 90.27°, γ = 90.00°
Closest atoms and distances in Å follow each position.
Element x y z (fractional)
Rb  0.0000  0.0000  0.0000  4 H 2.74
As  0.5593  0.0000  0.4990  2 Ir 2.37, 1 Se 2.60
H  0.8155  0.5000  0.2431  1 Ir 1.68
H  0.8172  0.5000  0.7555  1 Ir 1.68
Ir  0.7932  0.5000  0.4993  2 H 1.68
Se  0.1037  0.0000  0.5001  1 As 2.60, 2 Ir 2.65

***

y.
The following is a PBE calculation of RbAsH2IrSe after structural relaxation, from Alexandria.

Output
Space group: No. 8
DOS at the Fermi energy in states/eV per cell: 2.83

a = 6.9338 Å, b = 6.9338 Å, c = 4.9583 Å
α = 98.29°, β = 98.29°, γ = 33.04°
Closest atoms and distances in Å follow each position.
Element x y z (fractional)
Rb  0.0000  0.0000  0.0000  3 H 2.67-2.78
As  0.7936  0.7936  0.3908  2 Ir 2.42, 1 Se 2.47
H  0.1338  0.1338  0.4869  1 Ir 1.68
H  0.3701  0.3701  0.8352  1 Ir 1.68
Ir  0.2552  0.2552  0.6398  2 H 1.68
Se  0.7002  0.7002  0.9198  1 As 2.47, 2 Ir 2.58

***

Most stable to least stable, the ends of the list are y and x.

***

w.
The following is a PBE calculation of K2AsH after structural relaxation, from Alexandria.

Output
Space group: No. 122
DOS at the Fermi energy in states/eV per cell: 2.11

a = 6.8991 Å, b = 6.8991 Å, c = 6.8991 Å
α = 109.60°, β = 109.60°, γ = 109.21°
Closest atoms and distances in Å follow each position.
Element x y z (fractional)
K  0.0469  0.6250  0.9219  2 H 2.61
K  0.3750  0.2969  0.4219  2 H 2.61
K  0.7031  0.1250  0.0781  2 H 2.61
K  0.8750  0.9531  0.5781  2 H 2.61
As  0.2500  0.7500  0.5000  4 K 3.43
As  0.5000  0.5000  0.0000  4 K 3.43
H  0.0000  0.0000  0.0000  4 K 2.61
H  0.7500  0.2500  0.5000  4 K 2.61

***

x.
The following is a PBE calculation of K2AsH after structural relaxation, from Alexandria.

Output
Space group: No. 225
DOS at the Fermi energy in states/eV per cell: 6.77

a = 5.5434 Å, b = 5.5434 Å, c = 5.5434 Å
α = 60.00°, β = 60.00°, γ = 60.00°
Closest atoms and distances in Å follow each position.
Element x y z (fractional)
K  0.2500  0.2500  0.2500  4 As 3.39, 4 H 3.39
K  0.7500  0.7500  0.7500  4 H 3.39, 4 As 3.39
As  0.0000  0.0000  0.0000  8 K 3.39
H  0.5000  0.5000  0.5000  8 K 3.39

***

Most stable to least stable, the ends of the list are w and x.

***

w.
The following is a PBE calculation of KAsH2 after structural relaxation, from Alexandria.

Output
Space group: No. 225
DOS at the Fermi energy in states/eV per cell: 1.18

a = 4.3565 Å, b = 4.3565 Å, c = 4.3565 Å
α = 60.00°, β = 60.00°, γ = 60.00°
Closest atoms and distances in Å follow each position.
Element x y z (fractional)
K  0.0000  0.0000  0.0000  8 H 2.67
As  0.5000  0.5000  0.5000  8 H 2.67
H  0.2500  0.2500  0.2500  4 As 2.67, 4 K 2.67
H  0.7500  0.7500  0.7500  4 As 2.67, 4 K 2.67

***

x.
The following is a PBE calculation of KAsH2 after structural relaxation, from Alexandria.

Output
Space group: No. 62
DOS at the Fermi energy in states/eV per cell: 0.00

a = 14.2919 Å, b = 5.4885 Å, c = 4.4383 Å
α = 90.00°, β = 90.00°, γ = 90.00°
Closest atoms and distances in Å follow each position.
Element x y z (fractional)
K  0.1227  0.2500  0.2460  6 H 2.88-3.12
K  0.3773  0.7500  0.7460  6 H 2.88-3.12
K  0.6227  0.2500  0.2540  6 H 2.88-3.12
K  0.8773  0.7500  0.7540  6 H 2.88-3.12
As  0.1144  0.7500  0.7472  2 H 1.55
As  0.3856  0.2500  0.2472  2 H 1.55
As  0.6144  0.7500  0.7528  2 H 1.55
As  0.8856  0.2500  0.2528  2 H 1.55
H  0.1896  0.7500  0.4963  1 As 1.55
H  0.1909  0.7500  0.9940  1 As 1.55
H  0.3091  0.2500  0.4940  1 As 1.55
H  0.3104  0.2500  0.9963  1 As 1.55
H  0.6896  0.7500  0.0037  1 As 1.55
H  0.6909  0.7500  0.5060  1 As 1.55
H  0.8091  0.2500  0.0060  1 As 1.55
H  0.8104  0.2500  0.5037  1 As 1.55

***

y.
The following is a PBE calculation of KAsH2 after structural relaxation, from Alexandria.

Output
Space group: No. 166
DOS at the Fermi energy in states/eV per cell: 1.30

a = 7.2909 Å, b = 7.2909 Å, c = 7.2909 Å
α = 26.30°, β = 26.30°, γ = 26.30°
Closest atoms and distances in Å follow each position.
Element x y z (fractional)
K  0.0000  0.0000  0.0000  6 H 2.51
As  0.5000  0.5000  0.5000  2 H 1.89
H  0.4106  0.4106  0.4106  1 As 1.89
H  0.5894  0.5894  0.5894  1 As 1.89

***

z.
The following is a PBE calculation of KAsH2 after structural relaxation, from Alexandria.

Output
Space group: No. 122
DOS at the Fermi energy in states/eV per cell: 0.00

a = 6.6926 Å, b = 6.6926 Å, c = 6.6926 Å
α = 137.46°, β = 137.46°, γ = 61.73°
Closest atoms and distances in Å follow each position.
Element x y z (fractional)
K  0.0000  0.0000  0.0000  8 H 3.07-3.08, 4 As 3.43
K  0.7500  0.2500  0.5000  8 H 3.07-3.08, 4 As 3.43
As  0.2500  0.7500  0.5000  4 H 1.88
As  0.5000  0.5000  0.0000  4 H 1.88
H  0.3738  0.6250  0.2488  2 As 1.88
H  0.3750  0.6238  0.7488  2 As 1.88
H  0.3762  0.1250  0.7512  2 As 1.88
H  0.8750  0.6262  0.2512  2 As 1.88

***

Most stable to least stable, the ends of the list are x and w.

***

w.
The following is a PBE calculation of K2NaAsH after structural relaxation, from Alexandria.

Output
Space group: No. 123
DOS at the Fermi energy in states/eV per cell: 3.69

a = 5.5434 Å, b = 5.5434 Å, c = 4.2868 Å
α = 90.00°, β = 90.00°, γ = 90.00°
Closest atoms and distances in Å follow each position.
Element x y z (fractional)
K  0.0000  0.5000  0.0000  2 H 2.77
K  0.5000  0.0000  0.0000  2 H 2.77
Na  0.0000  0.0000  0.5000  2 H 2.14
As  0.5000  0.5000  0.5000  8 K 3.50, 4 Na 3.92
H  0.0000  0.0000  0.0000  2 Na 2.14

***

x.
The following is a PBE calculation of K2NaAsH after structural relaxation, from Alexandria.

Output
Space group: No. 123
DOS at the Fermi energy in states/eV per cell: 4.21

a = 6.4653 Å, b = 6.4653 Å, c = 5.0526 Å
α = 90.00°, β = 90.00°, γ = 90.00°
Closest atoms and distances in Å follow each position.
Element x y z (fractional)
K  0.0000  0.5000  0.0000  2 Na 3.23
K  0.5000  0.0000  0.0000  2 Na 3.23
Na  0.0000  0.0000  0.0000  2 As 2.53
As  0.0000  0.0000  0.5000  2 Na 2.53
H  0.5000  0.5000  0.5000  8 K 4.10, 4 As 4.57

***

Most stable to least stable, the ends of the list are w and x.

***

w.
The following is a PBE calculation of KAs2HSe after structural relaxation, from Alexandria.

Output
Space group: No. 123
DOS at the Fermi energy in states/eV per cell: 1.71

a = 4.3463 Å, b = 4.3463 Å, c = 5.1314 Å
α = 90.00°, β = 90.00°, γ = 90.00°
Closest atoms and distances in Å follow each position.
Element x y z (fractional)
K  0.0000  0.0000  0.0000  4 Se 3.07, 8 As 3.36
As  0.0000  0.5000  0.5000  2 H 2.17
As  0.5000  0.0000  0.5000  2 H 2.17
H  0.5000  0.5000  0.5000  4 As 2.17
Se  0.5000  0.5000  0.0000  2 H 2.57

***

x.
The following is a PBE calculation of KAs2HSe after structural relaxation, from Alexandria.

Output
Space group: No. 123
DOS at the Fermi energy in states/eV per cell: 6.82

a = 7.0892 Å, b = 7.0892 Å, c = 6.2190 Å
α = 90.00°, β = 90.00°, γ = 90.00°
Closest atoms and distances in Å follow each position.
Element x y z (fractional)
K  0.0000  0.0000  0.0000  2 Se 3.11
As  0.0000  0.5000  0.0000  2 K 3.54
As  0.5000  0.0000  0.0000  2 K 3.54
H  0.5000  0.5000  0.5000  8 As 4.72, 4 Se 5.01
Se  0.0000  0.0000  0.5000  2 K 3.11

***

Most stable to least stable, the ends of the list are w and x.